Record 1
{
  "formula": "InTcOs2",
  "functional": "SCAN",
  "state": "single point on PBEsol structure",
  "sg": "I4/mmm (139)",
  "dft_energy_ev_per_atom": -52.5766,
  "formation_energy_ev_per_atom": 0.475,
  "cell": [[-2.724, 2.755, -0.004], [-1.507, -1.486, 3.245], [4.517, 1.743, 0.584]],
  "species": ["Os", "Tc", "In", "Os"],
  "frac_coords": [[0.250, 0.750, 0.500], [0.500, 0.500, 0.000], [0.000, 0.000, 0.000], [0.750, 0.250, 0.500]]
}

---

Record 2
{
  "formula": "HgIr2W",
  "functional": "SCAN",
  "state": "single point on PBEsol structure",
  "sg": "Pmm2 (25)",
  "dft_energy_ev_per_atom": -69.6380,
  "formation_energy_ev_per_atom": 0.375,
  "cell": [[2.803, 0.000, 0.000], [0.000, 4.050, 0.000], [0.000, 0.000, 5.555]],
  "species": ["Ir", "Hg", "W", "Ir"],
  "frac_coords": [[0.000, 0.000, 0.006], [0.500, 0.500, 0.760], [0.000, 0.000, 0.464], [0.500, 0.500, 0.269]]
}

---

Record 3
{
  "formula": "Sr2ZrVO6",
  "functional": "SCAN",
  "state": "single point on PBEsol structure",
  "sg": "Fm-3m (225)",
  "e_form_raw_ev_per_atom": -3.30,
  "dft_energy_ev_per_atom": -16.3131,
  "cell": [[-4.124, -3.538, -1.435], [0.197, -2.693, -4.928], [0.968, -5.534, -0.141]],
  "species": ["Zr", "Sr", "O", "O", "O", "V", "O", "O", "O", "Sr"],
  "frac_coords": [[0.000, 0.000, 0.000], [0.250, 0.250, 0.250], [0.260, 0.740, 0.740], [0.260, 0.740, 0.260], [0.740, 0.740, 0.260], [0.500, 0.500, 0.500], [0.740, 0.260, 0.260], [0.260, 0.260, 0.740], [0.740, 0.260, 0.740], [0.750, 0.750, 0.750]]
}

---

Record 4
{
  "formula": "La3RuO7",
  "functional": "SCAN",
  "state": "single point on PBEsol structure",
  "sg": "Cmcm (63)",
  "e_form_raw_ev_per_atom": -3.03,
  "dft_energy_ev_per_atom": -21.9126,
  "de_polymorph_mev_per_atom": 0,
  "cell": [[-1.738, -2.544, -5.912], [4.015, -4.019, 3.489], [-6.039, -3.270, 3.183]],
  "species": ["O", "O", "La", "O", "O", "O", "La", "O", "La", "O", "Ru", "O", "La", "La", "O", "O", "O", "O", "La", "O", "O", "Ru"],
  "frac_coords": [[0.193, 0.442, 0.457], [0.837, 0.096, 0.250], [0.538, 0.099, 0.750], [0.558, 0.807, 0.543], [0.904, 0.163, 0.750], [0.581, 0.581, 0.250], [0.000, 0.000, 0.000], [0.807, 0.558, 0.957], [0.099, 0.538, 0.750], [0.193, 0.442, 0.043], [0.500, 0.500, 0.500], [0.442, 0.193, 0.043], [0.000, 0.000, 0.500], [0.462, 0.901, 0.250], [0.807, 0.558, 0.543], [0.419, 0.419, 0.750], [0.442, 0.193, 0.457], [0.096, 0.837, 0.250], [0.901, 0.462, 0.250], [0.163, 0.904, 0.750], [0.558, 0.807, 0.957], [0.500, 0.500, 0.000]]
}

---

Record 5
{
  "formula": "CoRe2Tc",
  "functional": "SCAN",
  "state": "single point on PBEsol structure",
  "sg": "Cmmm (65)",
  "dft_energy_ev_per_atom": -48.4941,
  "formation_energy_ev_per_atom": 0.146,
  "de_polymorph_mev_per_atom": 79,
  "cell": [[2.670, 0.000, 0.000], [0.000, 4.613, 0.000], [0.000, -1.545, 4.346]],
  "species": ["Re", "Co", "Tc", "Re"],
  "frac_coords": [[0.000, 0.500, 0.000], [0.500, 0.500, 0.500], [0.500, 0.000, 0.000], [0.000, 0.000, 0.500]]
}

---

Record 6
{
  "formula": "SrMg3O",
  "functional": "SCAN",
  "state": "single point on PBEsol structure",
  "sg": "Pm-3m (221)",
  "e_form_raw_ev_per_atom": -0.50,
  "dft_energy_ev_per_atom": -9.1818,
  "cell": [[4.762, 0.000, 0.000], [0.000, 4.762, 0.000], [0.000, 0.000, 4.762]],
  "species": ["Mg", "O", "Mg", "Sr", "Mg"],
  "frac_coords": [[0.000, 0.000, 0.500], [0.000, 0.000, 0.000], [0.500, 0.000, 0.000], [0.500, 0.500, 0.500], [0.000, 0.500, 0.000]]
}

---

Record 7
{
  "formula": "SrMgS3",
  "functional": "SCAN",
  "state": "single point on PBEsol structure",
  "sg": "Pm-3m (221)",
  "e_form_raw_ev_per_atom": -1.12,
  "dft_energy_ev_per_atom": -12.3423,
  "cell": [[4.813, 0.000, 0.000], [0.000, 4.813, 0.000], [0.000, 0.000, 4.813]],
  "species": ["Mg", "S", "Sr", "S", "S"],
  "frac_coords": [[0.000, 0.000, 0.000], [0.000, 0.500, 0.000], [0.500, 0.500, 0.500], [0.500, 0.000, 0.000], [0.000, 0.000, 0.500]]
}

---

Record 8
{
  "formula": "TiBeP2Cl",
  "functional": "SCAN",
  "state": "single point on PBEsol structure",
  "sg": "P4/mmm (123)",
  "e_form_raw_ev_per_atom": 0.19,
  "dft_energy_ev_per_atom": -9.6458,
  "cell": [[-2.249, -2.801, 2.004], [3.092, -2.696, -0.297], [1.737, 1.540, 4.103]],
  "species": ["P", "Cl", "P", "Be", "Ti"],
  "frac_coords": [[0.500, 0.000, 0.000], [0.000, 0.000, 0.500], [0.000, 0.500, 0.000], [0.000, 0.000, 0.000], [0.500, 0.500, 0.500]]
}

---

Record 9
{
  "formula": "KRbBi3",
  "functional": "SCAN",
  "state": "single point on PBEsol structure",
  "sg": "Pm-3m (221)",
  "dft_energy_ev_per_atom": -52.4082,
  "formation_energy_ev_per_atom": 0.553,
  "de_polymorph_mev_per_atom": 0,
  "cell": [[6.004, 0.000, 0.000], [0.000, 6.004, 0.000], [0.000, 0.000, 6.004]],
  "species": ["Bi", "Bi", "K", "Bi", "Rb"],
  "frac_coords": [[0.000, 0.000, 0.500], [0.500, 0.000, 0.000], [0.000, 0.000, 0.000], [0.000, 0.500, 0.000], [0.500, 0.500, 0.500]]
}

---

Record 10
{
  "formula": "ScZn2Ni",
  "functional": "SCAN",
  "state": "single point on PBEsol structure",
  "sg": "C2/m (12)",
  "dft_energy_ev_per_atom": -14.4230,
  "formation_energy_ev_per_atom": -0.063,
  "cell": [[2.741, -0.127, 0.000], [-1.419, 5.054, 0.000], [-0.661, -2.463, 4.307]],
  "species": ["Ni", "Sc", "Zn", "Zn"],
  "frac_coords": [[0.500, 0.000, 0.000], [0.000, 0.500, 0.000], [0.000, 0.000, 0.500], [0.500, 0.500, 0.500]]
}

---

Record 11
{
  "formula": "BaTa2Mn",
  "functional": "SCAN",
  "state": "single point on PBEsol structure",
  "sg": "P4/mmm (123)",
  "dft_energy_ev_per_atom": -47.1031,
  "formation_energy_ev_per_atom": 0.640,
  "de_polymorph_mev_per_atom": 92,
  "cell": [[3.119, 0.026, 0.000], [-0.028, 3.119, 0.000], [0.000, 0.000, 8.398]],
  "species": ["Ba", "Mn", "Ta", "Ta"],
  "frac_coords": [[0.500, 0.500, 0.500], [0.500, 0.500, 0.000], [0.000, 0.000, 0.835], [0.000, 0.000, 0.165]]
}

---

Record 12
{
  "formula": "KBe2Tc",
  "functional": "SCAN",
  "state": "single point on PBEsol structure",
  "sg": "Fm-3m (225)",
  "dft_energy_ev_per_atom": -11.6621,
  "formation_energy_ev_per_atom": 1.362,
  "de_polymorph_mev_per_atom": 727,
  "cell": [[4.433, 0.000, 0.000], [2.217, 3.839, 0.000], [2.217, 1.280, 3.620]],
  "species": ["K", "Tc", "Be", "Be"],
  "frac_coords": [[0.000, 0.000, 0.000], [0.500, 0.500, 0.500], [0.250, 0.250, 0.250], [0.750, 0.750, 0.750]]
}

---

- Which formula does entry 2 have?
  HgIr2W